Arrangement i

YNiTeI2: optimized geometry, PBE-GGA.

Calculated values
For the magnetic moment, the calculation gives 1.14 Bohr magnetons per cell. The density of states at the Fermi level is 6.425 states/eV per cell.

Cell: 5.910 5.910 6.040 Å, 90.00 90.00 90.00°
Fractional coordinates of all 5 atoms:
Ni1 0.500 0.500 0.500
Te1 0.000 0.000 0.500
I1 0.500 0.000 0.000
I2 0.000 0.500 0.000
Y1 0.000 0.000 0.000

Arrangement ii

YNiTeI2: optimized geometry, PBE-GGA.

Calculated values
For the magnetic moment, the calculation gives 0.00 Bohr magnetons per cell. The density of states at the Fermi level is 2.379 states/eV per cell.

Cell: 5.127 5.127 5.370 Å, 90.00 90.00 90.00°
Fractional coordinates of all 5 atoms:
I1 0.000 0.500 0.000
I2 0.500 0.000 0.000
Y1 0.500 0.500 0.500
Ni1 0.000 0.000 0.000
Te1 0.000 0.000 0.500

What should be chosen as the least stable of them? Choose arrangement i.

Arrangement i

TiNi2I: optimized geometry, PBE-GGA.

Calculated values
For the magnetic moment, the calculation gives 0.00 Bohr magnetons per cell. The density of states at the Fermi level is 5.683 states/eV per cell.

Cell: 4.475 4.475 4.475 Å, 60.00 60.00 60.00°
Fractional coordinates of all 4 atoms:
Ni1 0.750 0.750 0.750
Ni2 0.250 0.250 0.250
Ti1 0.000 0.000 0.000
I1 0.500 0.500 0.500

Arrangement ii

TiNi2I: optimized geometry, PBE-GGA.

Calculated values
For the magnetic moment, the calculation gives 0.00 Bohr magnetons per cell. The density of states at the Fermi level is 11.765 states/eV per cell.

Cell: 7.042 7.042 5.650 Å, 51.45 51.45 90.00°
Fractional coordinates of all 8 atoms:
Ti1 0.500 0.500 0.000
Ti2 0.250 0.750 0.500
Ni1 0.875 0.875 0.750
Ni2 0.375 0.375 0.750
Ni3 0.125 0.625 0.250
Ni4 0.625 0.125 0.250
I1 0.750 0.250 0.500
I2 0.000 0.000 0.000

What should be chosen as the least stable of them? Choose arrangement i.

Arrangement i

Tl2NiI: optimized geometry, PBE-GGA.

Calculated values
For the magnetic moment, the calculation gives 0.82 Bohr magnetons per cell. The density of states at the Fermi level is 14.668 states/eV per cell.

Cell: 5.602 5.602 5.602 Å, 60.00 60.00 60.00°
Fractional coordinates of all 4 atoms:
I1 0.500 0.500 0.500
Tl1 0.750 0.750 0.750
Tl2 0.250 0.250 0.250
Ni1 0.000 0.000 0.000

Arrangement ii

Tl2NiI: optimized geometry, PBE-GGA.

Calculated values
For the magnetic moment, the calculation gives 0.00 Bohr magnetons per cell. The density of states at the Fermi level is 3.378 states/eV per cell.

Cell: 6.562 6.562 8.388 Å, 66.97 66.97 90.00°
Fractional coordinates of all 8 atoms:
Tl1 0.244 0.625 0.250
Tl2 0.506 0.125 0.250
Tl3 0.375 0.494 0.750
Tl4 0.875 0.756 0.750
I1 0.000 0.000 0.000
I2 0.750 0.250 0.500
Ni1 0.500 0.500 0.000
Ni2 0.250 0.750 0.500

What should be chosen as the least stable of them? Choose arrangement i.

Arrangement i

Tl2NiI5: optimized geometry, PBE-GGA.

Calculated values
For the magnetic moment, the calculation gives 1.01 Bohr magnetons per cell. The density of states at the Fermi level is 1.227 states/eV per cell.

Cell: 7.484 7.484 7.484 Å, 103.54 112.51 112.51°
Fractional coordinates of all 8 atoms:
I1 0.563 0.760 0.760
I2 0.437 0.197 0.197
I3 0.000 0.302 0.302
I4 0.000 0.760 0.197
I5 0.000 0.197 0.760
Tl1 0.500 0.244 0.744
Tl2 0.500 0.744 0.244
Ni1 0.000 0.019 0.019

Arrangement ii

Tl2NiI5: optimized geometry, PBE-GGA.

Calculated values
For the magnetic moment, the calculation gives 0.00 Bohr magnetons per cell. The density of states at the Fermi level is 2.371 states/eV per cell.

Cell: 6.280 7.583 8.731 Å, 105.95 102.16 115.31°
Fractional coordinates of all 8 atoms:
I1 0.948 0.728 0.134
I2 0.280 0.307 0.346
I3 0.836 0.747 0.711
I4 0.180 0.326 0.921
I5 0.535 0.034 0.031
Ni1 0.090 0.028 0.028
Tl1 0.551 0.800 0.320
Tl2 0.580 0.254 0.732

What should be chosen as the least stable of them? Choose arrangement ii.

Arrangement i

V2NiI: optimized geometry, PBE-GGA.

Calculated values
For the magnetic moment, the calculation gives 0.00 Bohr magnetons per cell. The density of states at the Fermi level is 4.271 states/eV per cell.

Cell: 4.383 4.383 4.383 Å, 60.00 60.00 60.00°
Fractional coordinates of all 4 atoms:
Ni1 0.000 0.000 0.000
V1 0.250 0.250 0.250
V2 0.750 0.750 0.750
I1 0.500 0.500 0.500

Arrangement ii

V2NiI: optimized geometry, PBE-GGA.

Calculated values
For the magnetic moment, the calculation gives 4.06 Bohr magnetons per cell. The density of states at the Fermi level is 8.731 states/eV per cell.

Cell: 5.503 5.503 7.051 Å, 67.03 67.03 90.00°
Fractional coordinates of all 8 atoms:
V1 0.203 0.625 0.250
V2 0.875 0.797 0.750
V3 0.375 0.453 0.750
V4 0.547 0.125 0.250
Ni1 0.500 0.500 0.000
Ni2 0.250 0.750 0.500
I1 0.000 0.000 0.000
I2 0.750 0.250 0.500

What should be chosen as the least stable of them? Choose arrangement ii.

Arrangement i

NiWI2: optimized geometry, PBE-GGA.

Calculated values
For the magnetic moment, the calculation gives 0.00 Bohr magnetons per cell. The density of states at the Fermi level is 3.694 states/eV per cell.

Cell: 4.776 4.776 4.776 Å, 60.00 60.00 60.00°
Fractional coordinates of all 4 atoms:
W1 0.500 0.500 0.500
Ni1 0.000 0.000 0.000
I1 0.750 0.750 0.750
I2 0.250 0.250 0.250

Arrangement ii

NiWI2: optimized geometry, PBE-GGA.

Calculated values
For the magnetic moment, the calculation gives 0.00 Bohr magnetons per cell. The density of states at the Fermi level is 3.239 states/eV per cell.

Cell: 5.928 5.928 7.260 Å, 65.90 65.90 90.00°
Fractional coordinates of all 8 atoms:
Ni1 0.500 0.500 0.000
Ni2 0.250 0.750 0.500
I1 0.144 0.625 0.250
I2 0.375 0.394 0.750
I3 0.606 0.125 0.250
I4 0.875 0.856 0.750
W1 0.750 0.250 0.500
W2 0.000 0.000 0.000

What should be chosen as the least stable of them? Choose arrangement i.

Arrangement i

YNiI2: optimized geometry, PBE-GGA.

Calculated values
For the magnetic moment, the calculation gives 1.62 Bohr magnetons per cell. The density of states at the Fermi level is 3.830 states/eV per cell.

Cell: 6.628 6.628 7.383 Å, 63.33 63.33 90.00°
Fractional coordinates of all 8 atoms:
Ni1 0.500 0.500 0.000
Ni2 0.250 0.750 0.500
I1 0.187 0.625 0.250
I2 0.375 0.437 0.750
I3 0.875 0.813 0.750
I4 0.563 0.125 0.250
Y1 0.750 0.250 0.500
Y2 0.000 0.000 0.000

Arrangement ii

YNiI2: optimized geometry, PBE-GGA.

Calculated values
For the magnetic moment, the calculation gives 0.00 Bohr magnetons per cell. The density of states at the Fermi level is 7.389 states/eV per cell.

Cell: 5.217 5.217 5.217 Å, 60.00 60.00 60.00°
Fractional coordinates of all 4 atoms:
I1 0.750 0.750 0.750
I2 0.250 0.250 0.250
Ni1 0.000 0.000 0.000
Y1 0.500 0.500 0.500

Arrangement iii

YNiI2: optimized geometry, PBE-GGA.

Calculated values
For the magnetic moment, the calculation gives 0.83 Bohr magnetons per cell. The density of states at the Fermi level is 4.178 states/eV per cell.

Cell: 3.947 3.947 9.327 Å, 77.78 77.78 60.00°
Fractional coordinates of all 4 atoms:
Ni1 0.500 0.500 0.500
I1 0.111 0.111 0.667
I2 0.889 0.889 0.333
Y1 0.000 0.000 0.000

What should be chosen as the least stable of them? Choose arrangement iii.

Arrangement i

YNiI3: optimized geometry, PBE-GGA.

Calculated values
For the magnetic moment, the calculation gives 0.00 Bohr magnetons per cell. The density of states at the Fermi level is 5.647 states/eV per cell.

Cell: 5.258 5.258 5.258 Å, 90.00 90.00 90.00°
Fractional coordinates of all 5 atoms:
Y1 0.500 0.500 0.500
I1 0.000 0.000 0.500
I2 0.500 0.000 0.000
I3 0.000 0.500 0.000
Ni1 0.000 0.000 0.000

Arrangement ii

YNiI3: optimized geometry, PBE-GGA.

Calculated values
For the magnetic moment, the calculation gives 2.00 Bohr magnetons per cell. The density of states at the Fermi level is 128.785 states/eV per cell.

Cell: 6.015 6.015 6.015 Å, 90.00 90.00 90.00°
Fractional coordinates of all 5 atoms:
I1 0.000 0.000 0.500
I2 0.000 0.500 0.000
I3 0.500 0.000 0.000
Y1 0.000 0.000 0.000
Ni1 0.500 0.500 0.500

What should be chosen as the least stable of them? Choose arrangement ii.